[1]
This record from the Alexandria database describes a relaxed AlFeAsSe2 crystal. The functional is PBE.

Values from the calculation:
Excess energy over the best structure of this formula in the dataset = 578.2 meV/atom
Formation energy (no corrections) = 4.709 eV per formula unit

a = 4.830 Å, b = 4.830 Å, c = 4.767 Å
α = 90.00°, β = 90.00°, γ = 90.00°
Element x y z (fractional)
Al 0.000 0.000 0.000
Fe 0.500 0.500 0.500
As 0.000 0.000 0.500
Se 0.000 0.500 0.000
Se 0.500 0.000 0.000

=====

[2]
This record from the Alexandria database describes a relaxed AlFeAsSe2 crystal. The functional is PBE.

Values from the calculation:
Excess energy over the best structure of this formula in the dataset = 0.0 meV/atom
Formation energy (no corrections) = 1.818 eV per formula unit

a = 4.893 Å, b = 4.893 Å, c = 4.478 Å
α = 90.00°, β = 90.00°, γ = 90.00°
Element x y z (fractional)
Al 0.000 0.000 0.000
Fe 0.500 0.500 0.500
As 0.500 0.500 0.000
Se 0.000 0.500 0.500
Se 0.500 0.000 0.500

=====

[3]
This record from the Alexandria database describes a relaxed AlGaAs crystal. The functional is PBE.

a = 3.974 Å, b = 3.974 Å, c = 8.076 Å
α = 104.58°, β = 104.58°, γ = 80.34°
Element x y z (fractional)
Al 0.220 0.220 0.348
Al 0.780 0.780 0.652
Ga 0.212 0.212 0.964
Ga 0.788 0.788 0.036
As 0.378 0.378 0.691
As 0.622 0.622 0.309

=====

[4]
This record from the Alexandria database describes a relaxed Al2Ga2As crystal. The functional is PBE.

Values from the calculation:
Excess energy over the best structure of this formula in the dataset = 0.0 meV/atom

a = 7.984 Å, b = 7.984 Å, c = 2.885 Å
α = 90.00°, β = 90.00°, γ = 90.00°
Element x y z (fractional)
Al 0.126 0.374 0.000
Al 0.374 0.874 0.000
Al 0.626 0.126 0.000
Al 0.874 0.626 0.000
Ga 0.173 0.673 0.500
Ga 0.327 0.173 0.500
Ga 0.673 0.827 0.500
Ga 0.827 0.327 0.500
As 0.000 0.000 0.500
As 0.500 0.500 0.500

=====

[5]
This record from the Alexandria database describes a relaxed AlGaAs2 crystal. The functional is PBE.

Values from the calculation:
Excess energy over the best structure of this formula in the dataset = 3.3 meV/atom

a = 7.024 Å, b = 7.024 Å, c = 7.024 Å
α = 33.61°, β = 33.61°, γ = 33.61°
Element x y z (fractional)
Al 0.000 0.000 0.000
Ga 0.500 0.500 0.500
As 0.125 0.125 0.125
As 0.626 0.626 0.626

=====

[6]
This record from the Alexandria database describes a relaxed AlGaAs2 crystal. The functional is PBE.

Values from the calculation:
Excess energy over the best structure of this formula in the dataset = 542.0 meV/atom

a = 9.748 Å, b = 9.748 Å, c = 9.748 Å
α = 18.74°, β = 18.74°, γ = 18.74°
Element x y z (fractional)
Al 0.000 0.000 0.000
Ga 0.500 0.500 0.500
As 0.398 0.398 0.398
As 0.602 0.602 0.602

=====

[7]
This record from the Alexandria database describes a relaxed AlGa2As crystal. The functional is PBE.

Values from the calculation:
Excess energy over the best structure of this formula in the dataset = 41.4 meV/atom

a = 4.749 Å, b = 4.749 Å, c = 4.749 Å
α = 60.00°, β = 60.00°, γ = 60.00°
Element x y z (fractional)
Al 0.000 0.000 0.000
Ga 0.250 0.250 0.250
Ga 0.750 0.750 0.750
As 0.500 0.500 0.500

=====

[8]
This record from the Alexandria database describes a relaxed AlGa3As crystal. The functional is PBE.

Values from the calculation:
Excess energy over the best structure of this formula in the dataset = 0.0 meV/atom

a = 4.906 Å, b = 4.906 Å, c = 4.906 Å
α = 90.00°, β = 90.00°, γ = 90.00°
Element x y z (fractional)
Al 0.000 0.000 0.000
Ga 0.000 0.000 0.500
Ga 0.000 0.500 0.000
Ga 0.500 0.000 0.000
As 0.500 0.500 0.500

=====

| no. | uncorrected energy (hartree per atom) | total moment (μB/f.u.) |
| --- | --- | --- |
| 1 | -0.1405 | 0.234 |
| 2 | -0.1617 | 2.251 |
| 3 | -0.1421 | 0.000 |
| 4 | -0.1290 | 0.000 |
| 5 | -0.1629 | 0.000 |
| 6 | -0.1431 | 0.000 |
| 7 | -0.1274 | 0.000 |
| 8 | -0.1122 | 0.000 |